# 1
An optimized crystal structure of BeSbMo2. Source: OQMD, functional PBE.

```
data_BeSbMo2
_chemical_formula_sum 'Be4 Sb4 Mo8'
_symmetry_space_group_name_H-M 'F -4 3 m'
_symmetry_Int_Tables_number 216
_symmetry_space_group_name_Hall 'F -4 2 3'
_cell_length_a 6.286
_cell_length_b 6.286
_cell_length_c 6.286
_cell_angle_alpha 90.00
_cell_angle_beta 90.00
_cell_angle_gamma 90.00
loop_
_atom_site_label
_atom_site_fract_x
_atom_site_fract_y
_atom_site_fract_z
_atom_site_occupancy
Be1 0.000 0.000 0.000 1
Sb1 0.250 0.250 0.750 1
Mo1 0.000 0.000 0.500 1
Mo2 0.250 0.250 0.250 1
```

Properties
Total magnetization ... 0.01 μB per cell
Total DFT energy (no corrections) ... -7.001 eV/atom


# 2
An optimized crystal structure of ScBeMo. Source: OQMD, functional PBE.

```
data_ScBeMo
_chemical_formula_sum 'Sc4 Be4 Mo4'
_symmetry_space_group_name_H-M 'F -4 3 m'
_symmetry_Int_Tables_number 216
_symmetry_space_group_name_Hall 'F -4 2 3'
_cell_length_a 6.155
_cell_length_b 6.155
_cell_length_c 6.155
_cell_angle_alpha 90.00
_cell_angle_beta 90.00
_cell_angle_gamma 90.00
loop_
_atom_site_label
_atom_site_fract_x
_atom_site_fract_y
_atom_site_fract_z
_atom_site_occupancy
Sc1 0.000 0.000 0.000 1
Be1 0.250 0.250 0.750 1
Mo1 0.250 0.250 0.250 1
```

Properties
Total magnetization ... 11.86 μB per cell
Polymorph energy (0 for the lowest one) ... 282 meV/atom
Total DFT energy (no corrections) ... -5.638 eV/atom


# 3
An optimized crystal structure of ScBeMo. Source: OQMD, functional PBE.

```
data_ScBeMo
_chemical_formula_sum 'Sc4 Be4 Mo4'
_symmetry_space_group_name_H-M 'F -4 3 m'
_symmetry_Int_Tables_number 216
_symmetry_space_group_name_Hall 'F -4 2 3'
_cell_length_a 6.032
_cell_length_b 6.032
_cell_length_c 6.032
_cell_angle_alpha 90.00
_cell_angle_beta 90.00
_cell_angle_gamma 90.00
loop_
_atom_site_label
_atom_site_fract_x
_atom_site_fract_y
_atom_site_fract_z
_atom_site_occupancy
Sc1 0.000 0.000 0.000 1
Be1 0.000 0.000 0.500 1
Mo1 0.250 0.250 0.750 1
```

Properties
Total magnetization ... 5.89 μB per cell
Polymorph energy (0 for the lowest one) ... 0 meV/atom
Total DFT energy (no corrections) ... -5.920 eV/atom


# 4
An optimized crystal structure of BeSi2Mo. Source: OQMD, functional PBE.

```
data_BeSi2Mo
_chemical_formula_sum 'Be4 Si8 Mo4'
_symmetry_space_group_name_H-M 'F -4 3 m'
_symmetry_Int_Tables_number 216
_symmetry_space_group_name_Hall 'F -4 2 3'
_cell_length_a 5.888
_cell_length_b 5.888
_cell_length_c 5.888
_cell_angle_alpha 90.00
_cell_angle_beta 90.00
_cell_angle_gamma 90.00
loop_
_atom_site_label
_atom_site_fract_x
_atom_site_fract_y
_atom_site_fract_z
_atom_site_occupancy
Be1 0.000 0.000 0.000 1
Si1 0.000 0.000 0.500 1
Si2 0.250 0.250 0.750 1
Mo1 0.250 0.250 0.250 1
```

Properties
Total magnetization ... 0.02 μB per cell
Total DFT energy (no corrections) ... -5.923 eV/atom


# 5
An optimized crystal structure of Be2SiMo. Source: OQMD, functional PBE.

```
data_Be2SiMo
_chemical_formula_sum 'Be8 Si4 Mo4'
_symmetry_space_group_name_H-M 'F -4 3 m'
_symmetry_Int_Tables_number 216
_symmetry_space_group_name_Hall 'F -4 2 3'
_cell_length_a 5.711
_cell_length_b 5.711
_cell_length_c 5.711
_cell_angle_alpha 90.00
_cell_angle_beta 90.00
_cell_angle_gamma 90.00
loop_
_atom_site_label
_atom_site_fract_x
_atom_site_fract_y
_atom_site_fract_z
_atom_site_occupancy
Be1 0.000 0.000 0.000 1
Be2 0.250 0.250 0.250 1
Si1 0.000 0.000 0.500 1
Mo1 0.250 0.250 0.750 1
```

Properties
Total magnetization ... 0.00 μB per cell
Total DFT energy (no corrections) ... -5.707 eV/atom


# 6
An optimized crystal structure of BeSiMoW. Source: OQMD, functional PBE.

```
data_BeSiMoW
_chemical_formula_sum 'Be4 Si4 Mo4 W4'
_symmetry_space_group_name_H-M 'F -4 3 m'
_symmetry_Int_Tables_number 216
_symmetry_space_group_name_Hall 'F -4 2 3'
_cell_length_a 6.002
_cell_length_b 6.002
_cell_length_c 6.002
_cell_angle_alpha 90.00
_cell_angle_beta 90.00
_cell_angle_gamma 90.00
loop_
_atom_site_label
_atom_site_fract_x
_atom_site_fract_y
_atom_site_fract_z
_atom_site_occupancy
Be1 0.000 0.000 0.000 1
Si1 0.250 0.250 0.250 1
Mo1 0.000 0.000 0.500 1
W1 0.250 0.250 0.750 1
```

Properties
Total magnetization ... 0.00 μB per cell
Polymorph energy (0 for the lowest one) ... 0 meV/atom
Total DFT energy (no corrections) ... -8.136 eV/atom


- What is the total DFT energy (no corrections) in the fifth record?
  -5.707 eV/atom


- What is the total magnetization in the fifth record?
  0.00 μB per cell


- Number 6 is which compound?
  BeSiMoW